Here is a relaxed DyZn8Ni4 crystal from OQMD via LeMat-Bulk. Energies are from PBE-GGA.

Output
The value obtained for the spin magnetization is 0.001 μB per atom. For the formation energy from the elements, the calculation gives -4.00 eV per formula unit.

Cell lengths 6.5436, 6.5436, 6.5436 Å; angles 98.55, 98.55, 134.64 degrees
Positions (direct):
Zn (0.7224, 0.5000, 0.2224)
Zn (0.0000, 0.6583, 0.6583)
Zn (0.2776, 0.5000, 0.7776)
Zn (0.5000, 0.7224, 0.2224)
Zn (0.6583, 0.0000, 0.6583)
Zn (0.3417, 0.0000, 0.3417)
Zn (0.0000, 0.3417, 0.3417)
Zn (0.5000, 0.2776, 0.7776)
Ni (0.0000, 0.0000, 0.5000)
Ni (0.5000, 0.5000, 0.5000)
Ni (0.0000, 0.5000, 0.0000)
Ni (0.5000, 0.0000, 0.0000)
Dy (0.0000, 0.0000, 0.0000)

---

Here is a relaxed Lu4GeAuC2 crystal from OQMD via LeMat-Bulk. Energies are from PBE-GGA.

Output
For the raw total energy, the calculation gives -6.133 eV per atom. The value obtained for the spin magnetization is 0.000 μB per atom.

Cell lengths 3.5469, 3.5469, 14.0520 Å; angles 90.00, 90.00, 120.00 degrees
Positions (direct):
Lu (0.3333, 0.6667, 0.6581)
Lu (0.6667, 0.3333, 0.1574)
Lu (0.3333, 0.6667, 0.3419)
Lu (0.6667, 0.3333, 0.8426)
C (0.0000, 0.0000, 0.2454)
C (0.0000, 0.0000, 0.7546)
Au (0.3333, 0.6667, 0.0000)
Ge (0.6667, 0.3333, 0.5000)

---

Here is a relaxed Sm2HoMg3CdIn2 crystal from OQMD via LeMat-Bulk. Energies are from PBE-GGA.

Output
For the raw total energy, the calculation gives -3.158 eV per atom. The value obtained for the spin magnetization is 0.002 μB per atom.

Cell lengths 4.6834, 7.5605, 7.5605 Å; angles 119.22, 90.00, 90.00 degrees
Positions (direct):
In (0.5000, 0.6663, 0.3376)
In (0.5000, 0.3376, 0.6663)
Sm (0.0000, 0.4257, 0.0020)
Sm (0.0000, 0.0020, 0.4257)
Mg (0.5000, 0.0004, 0.7594)
Mg (0.5000, 0.7594, 0.0004)
Mg (0.5000, 0.2385, 0.2385)
Ho (0.0000, 0.5766, 0.5766)
Cd (0.0000, 0.9935, 0.9935)

---

Here is a relaxed ZrCoTcPb crystal from OQMD via LeMat-Bulk. Energies are from PBE-GGA.

Output
The value obtained for the spin magnetization is 0.720 μB per atom. The calculation puts the energy above the most stable polymorph in this dataset at 388 meV per atom.

Cell lengths 4.6646, 4.6646, 4.6646 Å; angles 60.04, 60.04, 60.04 degrees
Positions (direct):
Co (0.7500, 0.7500, 0.7500)
Tc (0.5000, 0.5000, 0.5000)
Pb (0.0000, 0.0000, 0.0000)
Zr (0.2499, 0.2499, 0.2499)

---

Here is a relaxed Lu2Hf4Bi3N3 crystal from OQMD via LeMat-Bulk. Energies are from PBE-GGA.

Output
For the raw total energy, the calculation gives -8.077 eV per atom. The value obtained for the spin magnetization is 0.000 μB per atom.

Cell lengths 5.9553, 5.9553, 14.7100 Å; angles 101.76, 101.76, 59.96 degrees
Positions (direct):
Hf (0.0242, 0.1963, 0.5793)
Hf (0.8037, 0.9758, 0.9207)
Hf (0.1963, 0.0242, 0.0793)
Hf (0.8574, 0.6936, 0.0794)
Hf (0.6936, 0.8574, 0.5794)
Hf (0.1426, 0.3064, 0.9206)
Hf (0.9758, 0.8037, 0.4207)
Hf (0.3064, 0.1426, 0.4206)
Bi (0.7605, 0.5852, 0.7513)
Bi (0.4148, 0.2395, 0.7487)
Bi (0.9290, 0.0710, 0.2500)
Bi (0.2395, 0.4148, 0.2487)
Bi (0.5852, 0.7605, 0.2513)
Bi (0.0710, 0.9290, 0.7500)
Lu (0.4705, 0.6338, 0.9126)
Lu (0.5295, 0.3662, 0.0874)
Lu (0.3662, 0.5295, 0.5874)
Lu (0.6338, 0.4705, 0.4126)
N (0.1611, 0.6693, 0.0000)
N (0.3307, 0.8389, 0.5000)
N (0.0000, 0.5000, 0.5000)
N (0.5000, 0.0000, 0.0000)
N (0.6693, 0.1611, 0.5000)
N (0.8389, 0.3307, 0.0000)

---

Here is a relaxed SmYMg2Tl2 crystal from OQMD via LeMat-Bulk. Energies are from PBE-GGA.

Output
For the raw total energy, the calculation gives -3.484 eV per atom. The value obtained for the spin magnetization is 0.002 μB per atom.

Cell lengths 4.9025, 4.9025, 7.4601 Å; angles 90.00, 90.00, 120.00 degrees
Positions (direct):
Mg (0.6667, 0.3333, 0.5589)
Mg (0.3333, 0.6667, 0.0666)
Tl (0.6667, 0.3333, 0.1224)
Tl (0.3333, 0.6667, 0.6164)
Y (0.0000, 0.0000, 0.3362)
Sm (0.0000, 0.0000, 0.8363)

---

Here is a relaxed TbPIrO crystal from OQMD via LeMat-Bulk. Energies are from PBE-GGA.

Output
The value obtained for the spin magnetization is 0.106 μB per atom. The calculation puts the energy above the most stable polymorph in this dataset at 1211 meV per atom.

Cell lengths 5.7232, 5.7232, 4.4059 Å; angles 90.00, 90.00, 90.00 degrees
Positions (direct):
O (0.0000, 0.0000, 0.0000)
O (0.5000, 0.5000, 0.0000)
Ir (0.5000, 0.0000, 0.8655)
Ir (0.0000, 0.5000, 0.1345)
Tb (0.5000, 0.5000, 0.5000)
Tb (0.0000, 0.0000, 0.5000)
P (0.5000, 0.0000, 0.3685)
P (0.0000, 0.5000, 0.6315)

---

Here is a relaxed Tb3Ir7 crystal from OQMD via LeMat-Bulk. Energies are from PBE-GGA.

Output
The value obtained for the spin magnetization is 0.000 μB per atom. For the formation energy from the elements, the calculation gives -3.13 eV per formula unit.

Cell lengths 10.6641, 10.6641, 4.0527 Å; angles 90.00, 90.00, 157.74 degrees
Positions (direct):
Ir (0.0967, 0.9033, 0.0000)
Ir (0.5960, 0.4040, 0.5000)
Ir (0.1922, 0.8078, 0.5000)
Ir (0.9033, 0.0967, 0.0000)
Ir (0.8078, 0.1922, 0.5000)
Ir (0.4040, 0.5960, 0.5000)
Ir (0.5000, 0.5000, 0.0000)
Tb (0.3064, 0.6936, 0.0000)
Tb (0.6936, 0.3064, 0.0000)
Tb (0.0000, 0.0000, 0.5000)

---

Here is a relaxed K3ZnBr6 crystal from OQMD via LeMat-Bulk. Energies are from PBE-GGA.

Output
For the raw total energy, the calculation gives -2.653 eV per atom.

Cell lengths 6.6566, 7.5553, 8.3887 Å; angles 66.19, 66.67, 64.62 degrees
Positions (direct):
Br (0.6768, 0.2836, 0.8582)
Br (0.1743, 0.2901, 0.8609)
Br (0.2198, 0.8873, 0.6783)
Br (0.7802, 0.1127, 0.3217)
Br (0.8257, 0.7099, 0.1391)
Br (0.3232, 0.7164, 0.1418)
K (0.2657, 0.2100, 0.2567)
K (0.5000, 0.5000, 0.5000)
K (0.7343, 0.7900, 0.7433)
Zn (0.0000, 0.0000, 0.0000)

---

Here is a relaxed PmScSb crystal from OQMD via LeMat-Bulk. Energies are from PBE-GGA.

Output
The value obtained for the spin magnetization is 0.608 μB per atom. The calculation puts the energy above the most stable polymorph in this dataset at 662 meV per atom.

Cell lengths 5.1337, 5.1337, 5.1337 Å; angles 60.00, 60.00, 60.00 degrees
Positions (direct):
Sb (0.2500, 0.2500, 0.2500)
Pm (0.0000, 0.0000, 0.0000)
Sc (0.7500, 0.7500, 0.7500)

---

Here is a relaxed NbCoIr crystal from OQMD via LeMat-Bulk. Energies are from PBE-GGA.

Output
The value obtained for the spin magnetization is 0.003 μB per atom. For the formation energy from the elements, the calculation gives -1.15 eV per formula unit.

Cell lengths 4.2650, 4.2650, 5.3708 Å; angles 90.00, 90.00, 120.02 degrees
Positions (direct):
Ir (0.5000, 0.5000, 0.5000)
Ir (0.5000, 0.5000, 0.0000)
Nb (0.8333, 0.1667, 0.7500)
Nb (0.1667, 0.8333, 0.2500)
Co (0.8335, 0.1665, 0.2500)
Co (0.1665, 0.8335, 0.7500)

---

Here is a relaxed GdYB2Ir2C2 crystal from OQMD via LeMat-Bulk. Energies are from PBE-GGA.

Output
For the raw total energy, the calculation gives -8.061 eV per atom. The value obtained for the spin magnetization is 0.000 μB per atom.

Cell lengths 3.7462, 3.7462, 7.8047 Å; angles 90.00, 90.00, 90.00 degrees
Positions (direct):
B (0.5000, 0.5000, 0.3413)
B (0.0000, 0.0000, 0.6580)
Gd (0.0000, 0.0000, 0.1626)
C (0.0000, 0.0000, 0.8517)
C (0.5000, 0.5000, 0.1472)
Y (0.5000, 0.5000, 0.8390)
Ir (0.5000, 0.0000, 0.5001)
Ir (0.0000, 0.5000, 0.5001)

---

Here is a relaxed Lu2Nb4Au3C3 crystal from OQMD via LeMat-Bulk. Energies are from PBE-GGA.

Output
For the raw total energy, the calculation gives -7.774 eV per atom. The value obtained for the spin magnetization is 0.001 μB per atom.

Cell lengths 5.6582, 5.6613, 14.4175 Å; angles 89.74, 78.68, 60.02 degrees
Positions (direct):
Nb (0.7729, 0.5347, 0.0779)
Nb (0.2271, 0.4653, 0.9221)
Nb (0.8854, 0.9653, 0.4221)
Nb (0.8748, 0.1408, 0.9222)
Nb (0.1146, 0.0347, 0.5779)
Nb (0.5622, 0.6408, 0.4222)
Nb (0.4378, 0.3592, 0.5778)
Nb (0.1252, 0.8592, 0.0778)
C (0.8388, 0.8306, 0.0000)
C (0.1612, 0.1694, 0.0000)
C (0.1695, 0.6693, 0.4999)
C (0.5000, 0.0000, 0.5000)
C (0.5000, 0.5000, 0.0000)
C (0.8305, 0.3307, 0.5001)
Lu (0.4255, 0.1952, 0.1137)
Lu (0.2344, 0.3048, 0.3863)
Lu (0.7656, 0.6952, 0.6137)
Lu (0.5745, 0.8048, 0.8863)
Au (0.8913, 0.6970, 0.2475)
Au (0.7870, 0.2500, 0.2500)
Au (0.3358, 0.8030, 0.2525)
Au (0.1087, 0.3030, 0.7525)
Au (0.2130, 0.7500, 0.7500)
Au (0.6642, 0.1970, 0.7475)

---

Here is a relaxed LuScIr2 crystal from OQMD via LeMat-Bulk. Energies are from PBE-GGA.

Output
The value obtained for the spin magnetization is 0.001 μB per atom. For the formation energy from the elements, the calculation gives -1.58 eV per formula unit.

Cell lengths 4.6287, 4.6287, 4.6287 Å; angles 60.00, 60.00, 60.00 degrees
Positions (direct):
Sc (0.5000, 0.5000, 0.5000)
Lu (0.2500, 0.2500, 0.2500)
Ir (0.0000, 0.0000, 0.0000)
Ir (0.7500, 0.7500, 0.7500)

---

Here is a relaxed NaSiAgTe2Se crystal from OQMD via LeMat-Bulk. Energies are from PBE-GGA.

Output
For the raw total energy, the calculation gives -3.390 eV per atom.

Cell lengths 7.3033, 7.3033, 10.9995 Å; angles 90.00, 90.00, 149.47 degrees
Positions (direct):
Te (0.6396, 0.3604, 0.0147)
Te (0.6396, 0.3604, 0.4853)
Te (0.3604, 0.6396, 0.5147)
Te (0.3604, 0.6396, 0.9853)
Si (0.0000, 0.0000, 0.5000)
Si (0.0000, 0.0000, 0.0000)
Ag (0.4088, 0.5912, 0.7500)
Ag (0.5912, 0.4088, 0.2500)
Na (0.2789, 0.7211, 0.2500)
Na (0.7211, 0.2789, 0.7500)
Se (0.9549, 0.0451, 0.2500)
Se (0.0451, 0.9549, 0.7500)

---

Here is a relaxed ScZnFeBi crystal from OQMD via LeMat-Bulk. Energies are from PBE-GGA.

Output
The value obtained for the spin magnetization is 0.488 μB per atom. The calculation puts the energy above the most stable polymorph in this dataset at 0 meV per atom.

Cell lengths 4.6411, 4.6411, 4.6411 Å; angles 60.00, 60.00, 60.00 degrees
Positions (direct):
Zn (0.5000, 0.5000, 0.5000)
Bi (0.0000, 0.0000, 0.0000)
Fe (0.7500, 0.7500, 0.7500)
Sc (0.2500, 0.2500, 0.2500)

---

Here is a relaxed PuGa crystal from OQMD via LeMat-Bulk. Energies are from PBE-GGA.

Output
For the raw total energy, the calculation gives -8.745 eV per atom. The value obtained for the spin magnetization is 2.777 μB per atom.

Cell lengths 3.2145, 3.2145, 4.9822 Å; angles 90.00, 90.00, 120.00 degrees
Positions (direct):
Ga (0.6667, 0.3333, 0.7500)
Pu (0.3333, 0.6667, 0.2500)

---

Here is a relaxed KPtO3 crystal from OQMD via LeMat-Bulk. Energies are from PBE-GGA.

Output
For the raw total energy, the calculation gives -4.986 eV per atom. The value obtained for the spin magnetization is 0.197 μB per atom.

Cell lengths 5.5494, 5.5494, 5.5494 Å; angles 61.71, 61.71, 61.71 degrees
Positions (direct):
K (0.2500, 0.2500, 0.2500)
K (0.7500, 0.7500, 0.7500)
Pt (0.5000, 0.5000, 0.5000)
Pt (0.0000, 0.0000, 0.0000)
O (0.2500, 0.6849, 0.8151)
O (0.8151, 0.2500, 0.6849)
O (0.3151, 0.1849, 0.7500)
O (0.1849, 0.7500, 0.3151)
O (0.7500, 0.3151, 0.1849)
O (0.6849, 0.8151, 0.2500)

---

Here is a relaxed NaCo3Se crystal from OQMD via LeMat-Bulk. Energies are from PBE-GGA.

Output
For the raw total energy, the calculation gives -4.653 eV per atom. The value obtained for the spin magnetization is 0.797 μB per atom.

Cell lengths 4.3471, 4.3471, 4.3471 Å; angles 90.00, 90.00, 90.00 degrees
Positions (direct):
Na (0.0000, 0.0000, 0.0000)
Co (0.0000, 0.5000, 0.5000)
Co (0.5000, 0.0000, 0.5000)
Co (0.5000, 0.5000, 0.0000)
Se (0.5000, 0.5000, 0.5000)

---

Here is a relaxed TmGaNi crystal from OQMD via LeMat-Bulk. Energies are from PBE-GGA.

Output
For the raw total energy, the calculation gives -4.801 eV per atom. The value obtained for the spin magnetization is 0.051 μB per atom.

Cell lengths 4.3548, 4.3548, 4.3548 Å; angles 60.00, 60.00, 60.00 degrees
Positions (direct):
Tm (0.7500, 0.7500, 0.7500)
Ni (0.0000, 0.0000, 0.0000)
Ga (0.2500, 0.2500, 0.2500)

---

Here is a relaxed AcCd2Pd crystal from OQMD via LeMat-Bulk. Energies are from PBE-GGA.

Output
The value obtained for the spin magnetization is 0.000 μB per atom. For the formation energy from the elements, the calculation gives -2.31 eV per formula unit.

Cell lengths 5.7110, 5.7110, 8.7005 Å; angles 90.00, 90.00, 135.32 degrees
Positions (direct):
Pd (0.2222, 0.7778, 0.2500)
Pd (0.7778, 0.2222, 0.7500)
Ac (0.9369, 0.0631, 0.2500)
Ac (0.0631, 0.9369, 0.7500)
Cd (0.6487, 0.3513, 0.0486)
Cd (0.6487, 0.3513, 0.4514)
Cd (0.3513, 0.6487, 0.5486)
Cd (0.3513, 0.6487, 0.9514)

---

Here is a relaxed PaHgI6 crystal from OQMD via LeMat-Bulk. Energies are from PBE-GGA.

Output
For the raw total energy, the calculation gives -3.081 eV per atom. The value obtained for the spin magnetization is 0.000 μB per atom.

Cell lengths 7.9303, 7.9303, 7.8738 Å; angles 100.31, 100.31, 120.14 degrees
Positions (direct):
I (0.7268, 0.7268, 0.2774)
I (0.2732, 0.2732, 0.7226)
I (0.4235, 0.1146, 0.2653)
I (0.8854, 0.5765, 0.7347)
I (0.5765, 0.8854, 0.7347)
I (0.1146, 0.4235, 0.2653)
Pa (0.5000, 0.5000, 0.5000)
Hg (0.0000, 0.0000, 0.0000)

---

Here is a relaxed CsPmSi crystal from OQMD via LeMat-Bulk. Energies are from PBE-GGA.

Output
The value obtained for the spin magnetization is 0.000 μB per atom. The calculation puts the energy above the most stable polymorph in this dataset at 539 meV per atom.

Cell lengths 5.2096, 5.2096, 5.2096 Å; angles 60.00, 60.00, 60.00 degrees
Positions (direct):
Cs (0.0000, 0.0000, 0.0000)
Pm (0.7500, 0.7500, 0.7500)
Si (0.2500, 0.2500, 0.2500)

---

Here is a relaxed ZrBeAl crystal from OQMD via LeMat-Bulk. Energies are from PBE-GGA.

Output
The value obtained for the spin magnetization is 0.000 μB per atom. The calculation puts the energy above the most stable polymorph in this dataset at 0 meV per atom.

Cell lengths 4.2785, 4.2785, 4.2785 Å; angles 60.00, 60.00, 60.00 degrees
Positions (direct):
Al (0.0000, 0.0000, 0.0000)
Be (0.2500, 0.2500, 0.2500)
Zr (0.7500, 0.7500, 0.7500)